No. 1
This record from the Alexandria database describes a geometry-optimized NaMnRh3 structure. The functional is PBE.

Cell: 4.498 4.498 4.498 Å, 90.00 90.00 90.00°
Space group Pm-3m (No. 221)
Symmetry-distinct sites (fractional):
Na (0.000, 0.000, 0.000) [1 per cell]
Mn (0.500, 0.500, 0.500) [1 per cell]
Rh (0.000, 0.500, 0.500) [3 per cell]

## Properties
Relative energy among the computed polymorphs = 0.00 eV per formula unit
Final energy = -5.800 eV/atom

=====

No. 2
This record from the Alexandria database describes a geometry-optimized LaNdZn4 structure. The functional is PBE.

Cell: 4.637 7.196 8.024 Å, 90.00 90.00 90.00°
Space group Immm (No. 71)
Symmetry-distinct sites (fractional):
La (0.000, 0.000, 0.000) [2 per cell]
Nd (0.000, 0.500, 0.000) [2 per cell]
Zn (0.000, 0.249, 0.333) [8 per cell]

## Properties
Relative energy among the computed polymorphs = 0.00 eV per formula unit
Final energy = -2.810 eV/atom

=====

No. 3
This record from the Alexandria database describes a geometry-optimized MnNiB2 structure. The functional is PBE.

Cell: 5.023 5.023 5.023 Å, 90.00 90.00 90.00°
Space group Fm-3m (No. 225)
Symmetry-distinct sites (fractional):
Mn (0.000, 0.000, 0.000) [4 per cell]
Ni (0.000, 0.000, 0.500) [4 per cell]
B (0.250, 0.250, 0.250) [8 per cell]

## Properties
Relative energy among the computed polymorphs = 1.31 eV per formula unit
Final energy = -7.075 eV/atom

=====

No. 4
This record from the Alexandria database describes a geometry-optimized LaHgBr structure. The functional is PBE.

Cell: 7.361 7.361 7.361 Å, 90.00 90.00 90.00°
Space group F-43m (No. 216)
Symmetry-distinct sites (fractional):
La (0.000, 0.000, 0.000) [4 per cell]
Hg (0.250, 0.250, 0.250) [4 per cell]
Br (0.250, 0.250, 0.750) [4 per cell]

## Properties
Relative energy among the computed polymorphs = 1.11 eV per formula unit
Final energy = -2.995 eV/atom

=====

No. 5
This record from the Alexandria database describes a geometry-optimized Ac5Pr4Tm structure. The functional is PBE.

Cell: 4.456 4.456 19.982 Å, 90.00 90.00 90.00°
Space group P4/mmm (No. 123)
Symmetry-distinct sites (fractional):
Ac (0.000, 0.000, 0.000) [1 per cell]
Ac (0.000, 0.000, 0.200) [2 per cell]
Ac (0.000, 0.000, 0.403) [2 per cell]
Pr (0.500, 0.500, 0.100) [2 per cell]
Pr (0.500, 0.500, 0.300) [2 per cell]
Tm (0.500, 0.500, 0.500) [1 per cell]

## Properties
Final energy = -4.316 eV/atom

=====

No. 6
This record from the Alexandria database describes a geometry-optimized TbDy2Sc structure. The functional is PBE.

Cell: 7.833 7.833 7.833 Å, 90.00 90.00 90.00°
Space group Fm-3m (No. 225)
Symmetry-distinct sites (fractional):
Tb (0.000, 0.000, 0.000) [4 per cell]
Dy (0.250, 0.250, 0.250) [8 per cell]
Sc (0.000, 0.000, 0.500) [4 per cell]

## Properties
Relative energy among the computed polymorphs = 0.44 eV per formula unit
Final energy = -4.901 eV/atom

=====

No. 7
This record from the Alexandria database describes a geometry-optimized La2Cu12Ni3Rh structure. The functional is PBE.

Cell: 5.9550 5.9550 27.9689 Å, 90.00 90.00 120.00°
Space group R-3m (No. 166, hexagonal axes)
Symmetry-distinct sites (fractional):
La (0.0000, 0.0000, 0.1462) [6 per cell]
Cu (0.0490, 0.5245, 0.0925) [18 per cell]
Cu (0.0697, 0.5349, 0.6205) [18 per cell]
Ni (0.0000, 0.5000, 0.0000) [9 per cell]
Rh (0.0000, 0.0000, 0.5000) [3 per cell]

## Properties
Final energy = -4.434 eV/atom

=====

No. 8
This record from the Alexandria database describes a geometry-optimized Tb6Y12Er structure. The functional is PBE.

Cell: 11.8928 11.8928 15.3079 Å, 90.00 90.00 120.00°
Space group R-3 (No. 148, hexagonal axes)
Symmetry-distinct sites (fractional):
Tb (0.0132, 0.5887, 0.1808) [18 per cell]
Y (0.0106, 0.1786, 0.6903) [18 per cell]
Y (0.0434, 0.1915, 0.9147) [18 per cell]
Er (0.0000, 0.0000, 0.5000) [3 per cell]

## Properties
Relative energy among the computed polymorphs = 0.00 eV per formula unit
Final energy = -5.635 eV/atom

=====

No. 9
This record from the Alexandria database describes a geometry-optimized Mg16Zr6Sc7 structure. The functional is PBE.

Cell: 13.930 13.930 13.930 Å, 90.00 90.00 90.00°
Space group Fm-3m (No. 225)
Symmetry-distinct sites (fractional):
Mg (0.120, 0.120, 0.120) [32 per cell]
Mg (0.162, 0.162, 0.338) [32 per cell]
Zr (0.000, 0.000, 0.324) [24 per cell]
Sc (0.000, 0.000, 0.000) [4 per cell]
Sc (0.000, 0.250, 0.250) [24 per cell]

## Properties
Final energy = -3.973 eV/atom

=====

No. 10
This record from the Alexandria database describes a geometry-optimized LaMgSi4 structure. The functional is PBE.

Cell: 7.602 7.602 7.602 Å, 90.00 90.00 90.00°
Space group F-43m (No. 216)
Symmetry-distinct sites (fractional):
La (0.000, 0.000, 0.000) [4 per cell]
Mg (0.250, 0.250, 0.750) [4 per cell]
Si (0.122, 0.122, 0.378) [16 per cell]

## Properties
Final energy = -4.844 eV/atom

=====

No. 11
This record from the Alexandria database describes a geometry-optimized ErGa2Tc2Ge structure. The functional is PBE.

Cell: 4.604 4.604 5.494 Å, 90.00 90.00 90.00°
Space group P4/mmm (No. 123)
Symmetry-distinct sites (fractional):
Er (0.000, 0.000, 0.000) [1 per cell]
Ga (0.500, 0.500, 0.238) [2 per cell]
Tc (0.000, 0.500, 0.500) [2 per cell]
Ge (0.000, 0.000, 0.500) [1 per cell]

## Properties
Final energy = -6.052 eV/atom

=====

No. 12
This record from the Alexandria database describes a geometry-optimized CdSiGeN structure. The functional is PBE.

Cell: 2.873 4.170 6.379 Å, 89.77 89.89 86.64°
Space group P1 (No. 1)
Symmetry-distinct sites (fractional):
Cd (0.000, 0.000, 0.000) [1 per cell]
Si (0.001, 0.501, 0.714) [1 per cell]
Ge (0.502, 0.500, 0.252) [1 per cell]
N (0.502, 0.501, 0.557) [1 per cell]

## Properties
Relative energy among the computed polymorphs = 0.14 eV per formula unit
Final energy = -4.779 eV/atom

=====

No. 13
This record from the Alexandria database describes a geometry-optimized Li4CaAg2Hg structure. The functional is PBE.

Cell: 4.7007 4.7007 23.8459 Å, 90.00 90.00 120.00°
Space group R-3m (No. 166, hexagonal axes)
Symmetry-distinct sites (fractional):
Li (0.0000, 0.0000, 0.1109) [6 per cell]
Li (0.0000, 0.0000, 0.3643) [6 per cell]
Ca (0.0000, 0.0000, 0.5000) [3 per cell]
Ag (0.0000, 0.0000, 0.2470) [6 per cell]
Hg (0.0000, 0.0000, 0.0000) [3 per cell]

## Properties
Final energy = -2.170 eV/atom

=====

No. 14
This record from the Alexandria database describes a geometry-optimized FeSb2Cl structure. The functional is PBE.

Cell: 3.529 3.529 7.481 Å, 90.00 90.00 90.00°
Space group P4mm (No. 99)
Symmetry-distinct sites (fractional):
Fe (0.000, 0.000, 0.000) [1 per cell]
Sb (0.000, 0.000, 0.393) [1 per cell]
Sb (0.500, 0.500, 0.134) [1 per cell]
Cl (0.500, 0.500, 0.743) [1 per cell]

## Properties
Relative energy among the computed polymorphs = 1.13 eV per formula unit
Final energy = -4.437 eV/atom

=====

No. 15
This record from the Alexandria database describes a geometry-optimized Sm2CdAg2Pd5 structure. The functional is PBE.

Cell: 9.733 9.733 4.114 Å, 90.00 90.00 90.00°
Space group P4/mbm (No. 127)
Symmetry-distinct sites (fractional):
Sm (0.175, 0.325, 0.000) [4 per cell]
Cd (0.000, 0.000, 0.000) [2 per cell]
Ag (0.123, 0.623, 0.000) [4 per cell]
Pd (0.000, 0.500, 0.500) [2 per cell]
Pd (0.067, 0.800, 0.500) [8 per cell]

## Properties
Final energy = -4.680 eV/atom

=====

No. 16
This record from the Alexandria database describes a geometry-optimized Li4MgCd structure. The functional is PBE.

Cell: 7.642 7.642 7.642 Å, 90.00 90.00 90.00°
Space group F-43m (No. 216)
Symmetry-distinct sites (fractional):
Li (0.125, 0.125, 0.125) [16 per cell]
Mg (0.250, 0.250, 0.750) [4 per cell]
Cd (0.000, 0.000, 0.500) [4 per cell]

## Properties
Relative energy among the computed polymorphs = 0.47 eV per formula unit
Final energy = -1.747 eV/atom

=====

No. 17
This record from the Alexandria database describes a geometry-optimized ZnH3F structure. The functional is PBE.

Cell: 2.868 4.352 4.865 Å, 101.48 98.03 90.58°
Space group P1 (No. 1)
Symmetry-distinct sites (fractional):
Zn (0.000, 0.000, 0.000) [1 per cell]
H (0.022, 0.268, 0.574) [1 per cell]
H (0.505, 0.809, 0.044) [1 per cell]
H (0.916, 0.230, 0.776) [1 per cell]
F (0.110, 0.331, 0.386) [1 per cell]

## Properties
Relative energy among the computed polymorphs = 0.71 eV per formula unit
Final energy = -3.130 eV/atom